Here is a relaxed structure of Ru2Se from the Alexandria database. Energies are from PBE.

Unit cell a=8.623 b=8.623 c=4.290 alpha=90.00 beta=90.00 gamma=160.50
Fractional coordinates of all 6 atoms:
Ru (0.045, 0.955, 0.750)
Ru (0.412, 0.588, 0.750)
Ru (0.588, 0.412, 0.250)
Ru (0.955, 0.045, 0.250)
Se (0.332, 0.668, 0.250)
Se (0.668, 0.332, 0.750)

**SG**: Cmcm
**DFT total energy**: -0.2677 Ha/atom
**Density**: 8.766 g cm⁻³
**Formation energy (no corrections)**: 61 meV/atom